Entry 1:
Material: BIO2F
Method: DFT, GGA-PBE
State: optimized geometry

Unit cell a=3.2625 b=3.2625 c=6.9066 alpha=90.00 beta=90.00 gamma=90.00
Last column: nearest neighbours and their distance in Å.
Atoms (fractional coordinates):
I1 0.0000 0.0000 0.5000  4 F 2.31
B1 0.0000 0.0000 0.0000  4 O 1.63
O1 0.0000 0.5000 0.0000  2 B 1.63
O2 0.5000 0.0000 0.0000  2 B 1.63
F1 0.5000 0.5000 0.5000  4 I 2.31

E	-21.04	eV/cell
total magnetization	0.0	μB per formula unit
raw formation energy	-205	meV per atom
crystal system	tetragonal

Entry 2:
Material: BIO2F
Method: DFT, GGA-PBE
State: optimized geometry

Unit cell a=3.7115 b=3.7115 c=3.7399 alpha=90.00 beta=90.00 gamma=90.00
Last column: nearest neighbours and their distance in Å.
Atoms (fractional coordinates):
I1 0.5000 0.5000 0.5000  4 F 2.62, 8 O 2.63
B1 0.0000 0.0000 0.0000  4 O 1.86, 2 F 1.87
O1 0.0000 0.5000 0.0000  2 B 1.86
O2 0.5000 0.0000 0.0000  2 B 1.86
F1 0.0000 0.0000 0.5000  2 B 1.87

E	-19.68	eV/cell
total magnetization	0.0	μB per formula unit
raw formation energy	68	meV per atom
crystal system	tetragonal

Entry 3:
Material: BIO2F
Method: DFT, GGA-PBE
State: optimized geometry

Unit cell a=4.0741 b=4.0741 c=4.3398 alpha=90.00 beta=90.00 gamma=90.00
Last column: nearest neighbours and their distance in Å.
Atoms (fractional coordinates):
I1 0.0000 0.0000 0.5000  2 F 2.17
B1 0.5000 0.5000 0.5000  4 I 2.88, 8 O 2.98
O1 0.0000 0.5000 0.0000  2 F 2.04
O2 0.5000 0.0000 0.0000  2 F 2.04
F1 0.0000 0.0000 0.0000  4 O 2.04, 2 I 2.17

E	-11.31	eV/cell
total magnetization	0.0	μB per formula unit
raw formation energy	1742	meV per atom
crystal system	tetragonal

Entry 4:
Material: BIO2F
Method: DFT, GGA-PBE
State: optimized geometry

Unit cell a=4.0577 b=4.0577 c=4.9961 alpha=90.00 beta=90.00 gamma=90.00
Last column: nearest neighbours and their distance in Å.
Atoms (fractional coordinates):
I1 0.0000 0.0000 0.0000  4 O 2.03
B1 0.5000 0.5000 0.5000  4 F 2.87
O1 0.0000 0.5000 0.0000  2 I 2.03
O2 0.5000 0.0000 0.0000  2 I 2.03
F1 0.0000 0.0000 0.5000  2 I 2.50

E	-16.77	eV/cell
total magnetization	0.0	μB per formula unit
raw formation energy	649	meV per atom
crystal system	tetragonal

Entry 5:
Material: BPbIF2
Method: DFT, GGA-PBE
State: optimized geometry

Unit cell a=4.6055 b=4.6055 c=6.5926 alpha=90.00 beta=90.00 gamma=90.00
Last column: nearest neighbours and their distance in Å.
Atoms (fractional coordinates):
Pb1 0.0000 0.0000 0.5000  4 B 3.26, 2 I 3.30
I1 0.0000 0.0000 0.0000  4 F 2.30
B1 0.5000 0.5000 0.5000  4 Pb 3.26
F1 0.0000 0.5000 0.0000  2 I 2.30
F2 0.5000 0.0000 0.0000  2 I 2.30

E	-13.83	eV/cell
total magnetization	0.0	μB per formula unit
raw formation energy	370	meV per atom
crystal system	tetragonal

Entry 6:
Material: Rb2BI6F
Method: DFT, GGA-PBE
State: optimized geometry

Unit cell a=7.1344 b=7.1344 c=8.9547 alpha=66.52 beta=66.52 gamma=90.00
Last column: nearest neighbours and their distance in Å.
Atoms (fractional coordinates):
I1 0.2861 0.2861 0.4279  1 B 3.17
I2 0.7139 0.7139 0.5721  1 B 3.17
I3 0.2625 0.2625 0.0000  1 B 2.40, 1 F 2.65
I4 0.7375 0.7375 0.0000  1 B 2.40, 1 F 2.65
I5 0.7375 0.2625 0.0000  1 B 2.40, 1 F 2.65
I6 0.2625 0.7375 0.0000  1 B 2.40, 1 F 2.65
B1 0.5000 0.5000 0.0000  4 I 2.40
Rb1 0.7500 0.2500 0.5000  4 I 3.61
Rb2 0.2500 0.7500 0.5000  4 I 3.61
F1 0.0000 0.0000 0.0000  4 I 2.65

E	-24.43	eV/cell
total magnetization	0.0	μB per formula unit
raw formation energy	-465	meV per atom
crystal system	tetragonal

Entry 7:
Material: BSbI2F
Method: DFT, GGA-PBE
State: optimized geometry

Unit cell a=5.0933 b=5.0933 c=4.6680 alpha=90.00 beta=90.00 gamma=90.00
Last column: nearest neighbours and their distance in Å.
Atoms (fractional coordinates):
I1 0.0000 0.5000 0.0000  2 B 2.55
I2 0.5000 0.0000 0.0000  2 B 2.55
Sb1 0.0000 0.0000 0.5000  2 B 2.33
B1 0.0000 0.0000 0.0000  2 Sb 2.33, 4 I 2.55
F1 0.5000 0.5000 0.5000  8 I 3.45, 4 Sb 3.60

E	-13.50	eV/cell
total magnetization	0.0	μB per formula unit
raw formation energy	454	meV per atom
crystal system	tetragonal

Entry 8:
Material: BSbI2F
Method: DFT, GGA-PBE
State: optimized geometry

Unit cell a=5.3598 b=3.8340 c=5.3598 alpha=90.00 beta=90.00 gamma=90.00
Last column: nearest neighbours and their distance in Å.
Atoms (fractional coordinates):
I1 0.0000 0.0000 0.5000  2 B 2.68
I2 0.5000 0.0000 0.0000  2 B 2.68
Sb1 0.5000 0.5000 0.5000  8 I 3.29
B1 0.0000 0.0000 0.0000  2 F 1.92
F1 0.0000 0.5000 0.0000  2 B 1.92

E	-14.59	eV/cell
total magnetization	0.0	μB per formula unit
raw formation energy	235	meV per atom
crystal system	tetragonal

Let's list calculated volume in order: 73.5 51.5 72.0 82.3 139.8 376.6 121.1 110.1 Å³/f.u..